5
Lattice="-2.0965 0.2824 3.0922 -2.8475 -1.6628 -1.7787 2.0518 -5.5432 1.8974" Properties=species:S:1:pos:R:3 comment="PBE with a Hubbard U VOsIO2, relaxed" polymorph_energy_kj_per_mol_atoms=28.6 n_ef_per_ev_atom=1.096 pbc="T T T"
I 1.0259 -2.7716 0.9487
Os -1.4461 -3.4618 1.6055
O -1.4238 -0.8314 -0.8893
O -1.0482 0.1412 1.5461
V 0.0000 0.0000 0.0000